# 1
4
Lattice="0.0000 3.3755 3.3755 3.3755 0.0000 3.3755 3.3755 3.3755 0.0000" Properties=species:S:1:pos:R:3 comment="PBE-GGA CaAgP2, optimized geometry" dos_ef_per_ev_cell=0.834 e_form_ev_per_atom=0.061 space_group="F-43m (216)" pbc="T T T"
Ca 0.0000 0.0000 0.0000
Ag 1.6877 1.6877 1.6877
P 3.3755 3.3755 3.3755
P 5.0632 5.0632 5.0632


# 2
3
Lattice="5.4691 0.0000 0.0000 -2.7346 4.7364 0.0000 0.0000 0.0000 3.4141" Properties=species:S:1:pos:R:3 comment="PBE-GGA GdPaBi, optimized geometry" dos_ef_per_ev_cell=6.492 e_form_ev_per_atom=0.084 e_above_lowest_polymorph_mev_per_atom=137 space_group="P3m1 (156)" pbc="T T T"
Gd 0.0000 0.0000 0.0000
Pa 0.0000 3.1576 1.8468
Bi 2.7346 1.5788 0.8341


# 3
4
Lattice="0.0000 3.2088 3.2088 3.2088 0.0000 3.2088 3.2088 3.2088 0.0000" Properties=species:S:1:pos:R:3 comment="PBE-GGA Co2HgPb, optimized geometry" dos_ef_per_ev_cell=4.412 e_form_ev_per_atom=0.535 e_above_lowest_polymorph_mev_per_atom=181 space_group="Fm-3m (225)" pbc="T T T"
Co 1.6044 1.6044 1.6044
Co 4.8132 4.8132 4.8132
Hg 0.0000 0.0000 0.0000
Pb 3.2088 3.2088 3.2088


# 4
32
Lattice="9.8522 0.0000 0.0000 0.0000 11.4266 0.0000 0.0000 0.0000 9.9436" Properties=species:S:1:pos:R:3 comment="PBE-GGA Rb3MnSe4, optimized geometry" e_form_raw_ev_per_atom=-0.8685 space_group="Pnma (62)" pbc="T T T"
Rb 0.4669 0.5051 2.0077
Rb 0.4669 5.2082 2.0077
Rb 1.4256 8.5699 4.1137
Rb 3.5005 2.8566 9.0855
Rb 4.4592 6.2184 6.9795
Rb 4.4592 10.9215 6.9795
Rb 5.3930 0.5051 2.9642
Rb 5.3930 5.2082 2.9642
Rb 6.3517 8.5699 0.8581
Rb 8.4266 2.8566 5.8299
Rb 9.3853 6.2184 7.9360
Rb 9.3853 10.9215 7.9360
Mn 2.2082 8.5699 9.7647
Mn 2.7179 2.8566 4.7929
Mn 7.1343 8.5699 5.1507
Mn 7.6440 2.8566 0.1789
Se 0.1389 8.5699 0.7548
Se 1.6234 0.9798 5.4052
Se 1.6234 4.7335 5.4052
Se 2.0082 8.5699 7.5171
Se 2.9179 2.8566 2.5453
Se 3.3027 6.6930 0.4334
Se 3.3027 10.4468 0.4334
Se 4.7872 2.8566 5.7266
Se 5.0650 8.5699 4.2170
Se 6.5495 0.9798 9.5103
Se 6.5495 4.7335 9.5103
Se 6.9343 8.5699 7.3984
Se 7.8440 2.8566 2.4266
Se 8.2288 6.6930 4.5384
Se 8.2288 10.4468 4.5384
Se 9.7133 2.8566 9.1889


Values of total magnetic moment, in order: 0.0 9.3 1.7 2.0, all in μB per formula unit.
Values of theoretical density, in order: 4.53 11.21 13.21 3.72, all in g/cm³.
Values of electronic total energy, in order: -3.857 -9.069 -4.021 -4.120, all in eV/atom.